Density functional theory data (GGA-PBE) for a relaxed structure of NaMgZn4.

a b c (Å): 5.309 5.309 5.309
angles (deg): 60.00 60.00 60.00
Atoms (fractional coordinates):
Mg1 0.000 0.000 0.000
Zn1 0.625 0.625 0.125
Zn2 0.625 0.625 0.625
Na1 0.250 0.250 0.250
Zn3 0.625 0.125 0.625
Zn4 0.125 0.625 0.625

## Properties
The volume comes out at 17.6 Å³/atom. The calculation puts the density of states at the Fermi level at 2.92 states/eV/cell. As for the space group: F-43m (216). The calculation puts the formation enthalpy at 0 K at -33 kJ/mol of formula units. For the uncorrected energy, the calculation gives -1.3921 eV/atom.